Cr2PbF | Alexandria | GGA+U | relaxed; uncorrected energy = -5.199 eV per atom; crystal system = cubic; symmetry = No. 225
1.0
2.469 -2.860 2.906
-1.871 -1.347 4.172
-1.386 -4.515 0.643
Pb Cr F
1 2 1
Direct
0.500 0.500 0.500
0.250 0.250 0.250
0.750 0.750 0.750
0.000 0.000 0.000